DFT (GGA-PBE) results for a relaxed PrDy2NbN4 crystal.

Lattice parameters (Å, degrees): 3.4347 6.2588 12.1377 90.00 90.00 105.93
With the nearest neighbours (Å) after each atom.
Positions (direct):
Pr (0.0966, 0.1932, 0.7500)  2 N 2.54
Pr (0.9034, 0.8068, 0.2500)  2 N 2.54
Dy (0.3708, 0.7416, 0.5353)  5 N 2.31-2.55
Dy (0.6292, 0.2584, 0.0353)  5 N 2.31-2.55
Dy (0.6292, 0.2584, 0.4647)  5 N 2.31-2.55
Dy (0.3708, 0.7416, 0.9647)  5 N 2.31-2.55
Nb (0.8363, 0.6726, 0.7500)  4 N 1.96-2.13
Nb (0.1637, 0.3274, 0.2500)  4 N 1.96-2.13
N (0.2603, 0.5207, 0.1200)  1 Nb 1.96
N (0.7397, 0.4793, 0.6200)  1 Nb 1.96
N (0.7397, 0.4793, 0.8800)  1 Nb 1.96
N (0.2603, 0.5207, 0.3800)  1 Nb 1.96
N (0.0000, 0.0000, 0.5000)  4 Dy 2.36
N (0.0000, 0.0000, 0.0000)  4 Dy 2.36
N (0.4414, 0.8827, 0.7500)  2 Nb 2.13
N (0.5586, 0.1173, 0.2500)  2 Nb 2.13

## Properties
Energy relative to the elements, uncorrected in eV per atom: -1.2542
VASP energy in eV/cell: -134.777
Space group: Cmcm